[1]
Below is a relaxed structure of InPb3Cl7, with properties calculated at the PBE level.

Cell lengths 7.145, 7.555, 7.145 Å; angles 105.66, 96.71, 105.66 degrees
Fractional positions:
In  0.500  0.500  0.500
Pb  0.232  0.000  0.768
Pb  0.000  0.500  0.000
Pb  0.768  0.000  0.232
Cl  0.850  0.764  0.850
Cl  0.946  0.737  0.376
Cl  0.624  0.263  0.054
Cl  0.376  0.737  0.946
Cl  0.500  0.000  0.500
Cl  0.054  0.263  0.624
Cl  0.150  0.236  0.150

Calculated values
- size of the total moment (μB/f.u.) = 0.00
- crystal system = monoclinic
- energy relative to the elements, uncorrected (kJ/mol of formula units) = -1130.2
- symmetry = No. 12
- volume (Å³/atom) = 31.8
- uncorrected energy (hartree per atom) = -0.1286

[2]
Below is a relaxed structure of In2PbCl, with properties calculated at the PBE level.

Cell lengths 10.688, 10.688, 10.688 Å; angles 18.76, 18.76, 18.76 degrees
Fractional positions:
Pb  0.494  0.494  0.494
Cl  0.743  0.743  0.743
In  0.008  0.008  0.008
In  0.255  0.255  0.255

Calculated values
- size of the total moment (μB/f.u.) = 0.00
- crystal system = trigonal
- distance to the lowest polymorph of the same formula (eV per atom) = 0.062
- energy relative to the elements, uncorrected (kJ/mol of formula units) = -99.8
- symmetry = No. 160
- volume (Å³/atom) = 27.6
- uncorrected energy (hartree per atom) = -0.1109

[3]
Below is a relaxed structure of InPb4Cl8, with properties calculated at the PBE level.

Cell lengths 8.971, 8.971, 8.971 Å; angles 60.00, 60.00, 60.00 degrees
Fractional positions:
In  0.750  0.750  0.750
Pb  0.883  0.372  0.372
Pb  0.372  0.883  0.372
Pb  0.372  0.372  0.883
Pb  0.372  0.372  0.372
Cl  0.574  0.142  0.142
Cl  0.142  0.574  0.142
Cl  0.142  0.142  0.574
Cl  0.142  0.142  0.142
Cl  0.172  0.609  0.609
Cl  0.609  0.172  0.609
Cl  0.609  0.609  0.172
Cl  0.609  0.609  0.609

Calculated values
- size of the total moment (μB/f.u.) = 0.00
- crystal system = cubic
- energy relative to the elements, uncorrected (kJ/mol of formula units) = -1196.8
- symmetry = No. 216
- volume (Å³/atom) = 39.3
- uncorrected energy (hartree per atom) = -0.1265

[4]
Below is a relaxed structure of In3PbCl, with properties calculated at the PBE level.

Cell lengths 5.586, 5.586, 5.586 Å; angles 90.00, 90.00, 90.00 degrees
Fractional positions:
Pb  0.500  0.500  0.500
Cl  0.000  0.000  0.000
In  0.000  0.500  0.000
In  0.000  0.000  0.500
In  0.500  0.000  0.000

Calculated values
- size of the total moment (μB/f.u.) = 0.00
- crystal system = cubic
- distance to the lowest polymorph of the same formula (eV per atom) = 0.000
- energy relative to the elements, uncorrected (kJ/mol of formula units) = 57.9
- symmetry = No. 221
- volume (Å³/atom) = 34.9
- uncorrected energy (hartree per atom) = -0.0968

[5]
Below is a relaxed structure of In2Pb2Cl, with properties calculated at the PBE level.

Cell lengths 8.312, 8.312, 4.462 Å; angles 90.00, 90.00, 90.00 degrees
Fractional positions:
Pb  0.132  0.632  0.500
Pb  0.632  0.868  0.500
Pb  0.868  0.368  0.500
Pb  0.368  0.132  0.500
Cl  0.000  0.000  0.000
Cl  0.500  0.500  0.000
In  0.328  0.828  0.000
In  0.828  0.672  0.000
In  0.672  0.172  0.000
In  0.172  0.328  0.000

Calculated values
- size of the total moment (μB/f.u.) = 0.00
- crystal system = tetragonal
- distance to the lowest polymorph of the same formula (eV per atom) = 0.052
- energy relative to the elements, uncorrected (kJ/mol of formula units) = -49.5
- symmetry = No. 127
- volume (Å³/atom) = 30.8
- uncorrected energy (hartree per atom) = -0.1121

[6]
Below is a relaxed structure of In2PbCl4, with properties calculated at the PBE level.

Cell lengths 4.434, 8.244, 13.091 Å; angles 90.00, 90.00, 90.00 degrees
Fractional positions:
Pb  0.000  0.000  0.500
Pb  0.000  0.500  0.000
Cl  0.000  0.649  0.799
Cl  0.000  0.351  0.201
Cl  0.000  0.149  0.701
Cl  0.000  0.851  0.299
Cl  0.500  0.796  0.573
Cl  0.500  0.204  0.427
Cl  0.500  0.704  0.073
Cl  0.500  0.296  0.927
In  0.500  0.937  0.804
In  0.500  0.063  0.196
In  0.500  0.437  0.696
In  0.500  0.563  0.304

Calculated values
- size of the total moment (μB/f.u.) = 0.00
- crystal system = orthorhombic
- distance to the lowest polymorph of the same formula (eV per atom) = 0.000
- energy relative to the elements, uncorrected (kJ/mol of formula units) = -651.0
- symmetry = No. 55
- volume (Å³/atom) = 34.2
- uncorrected energy (hartree per atom) = -0.1224

[7]
Below is a relaxed structure of In2PbCl, with properties calculated at the PBE level.

Cell lengths 10.356, 10.356, 10.356 Å; angles 19.98, 19.98, 19.98 degrees
Fractional positions:
Pb  0.250  0.250  0.250
Cl  0.750  0.750  0.750
In  0.009  0.009  0.009
In  0.491  0.491  0.491

Calculated values
- size of the total moment (μB/f.u.) = 0.00
- crystal system = trigonal
- distance to the lowest polymorph of the same formula (eV per atom) = 0.093
- energy relative to the elements, uncorrected (kJ/mol of formula units) = -88.0
- symmetry = No. 166
- volume (Å³/atom) = 28.4
- uncorrected energy (hartree per atom) = -0.1097

[8]
Below is a relaxed structure of In2PbCl, with properties calculated at the PBE level.

Cell lengths 7.129, 7.129, 7.129 Å; angles 151.48, 138.19, 51.40 degrees
Fractional positions:
Pb  0.750  0.250  0.500
Cl  0.250  0.750  0.500
In  0.971  0.971  0.000
In  0.529  0.529  0.000

Calculated values
- size of the total moment (μB/f.u.) = 0.00
- crystal system = orthorhombic
- distance to the lowest polymorph of the same formula (eV per atom) = 0.062
- energy relative to the elements, uncorrected (kJ/mol of formula units) = -99.8
- symmetry = No. 71
- volume (Å³/atom) = 28.7
- uncorrected energy (hartree per atom) = -0.1109

[9]
Below is a relaxed structure of In2PbCl4, with properties calculated at the PBE level.

Cell lengths 4.331, 6.806, 8.606 Å; angles 106.43, 104.57, 90.00 degrees
Fractional positions:
In  0.727  0.685  0.454
In  0.273  0.315  0.546
Pb  0.000  0.000  0.000
Cl  0.850  0.147  0.700
Cl  0.150  0.853  0.300
Cl  0.581  0.275  0.162
Cl  0.419  0.725  0.838

Calculated values
- size of the total moment (μB/f.u.) = 0.00
- crystal system = monoclinic
- distance to the lowest polymorph of the same formula (eV per atom) = 0.014
- energy relative to the elements, uncorrected (kJ/mol of formula units) = -641.7
- symmetry = No. 12
- volume (Å³/atom) = 33.5
- uncorrected energy (hartree per atom) = -0.1219

[10]
Below is a relaxed structure of In2PbCl, with properties calculated at the PBE level.

Cell lengths 3.497, 3.497, 9.232 Å; angles 90.00, 90.00, 90.00 degrees
Fractional positions:
Pb  0.500  0.500  0.250
Cl  0.500  0.500  0.750
In  0.000  0.000  0.979
In  0.000  0.000  0.521

Calculated values
- size of the total moment (μB/f.u.) = 0.00
- crystal system = tetragonal
- distance to the lowest polymorph of the same formula (eV per atom) = 0.089
- energy relative to the elements, uncorrected (kJ/mol of formula units) = -89.6
- symmetry = No. 123
- volume (Å³/atom) = 28.2
- uncorrected energy (hartree per atom) = -0.1099

[11]
Below is a relaxed structure of In2PbCl, with properties calculated at the PBE level.

Cell lengths 3.458, 5.375, 6.150 Å; angles 90.00, 90.00, 90.00 degrees
Fractional positions:
Pb  0.500  0.500  0.250
Cl  0.500  0.500  0.750
In  0.000  0.000  0.996
In  0.000  0.000  0.504

Calculated values
- size of the total moment (μB/f.u.) = 0.00
- crystal system = orthorhombic
- distance to the lowest polymorph of the same formula (eV per atom) = 0.090
- energy relative to the elements, uncorrected (kJ/mol of formula units) = -89.1
- symmetry = No. 47
- volume (Å³/atom) = 28.6
- uncorrected energy (hartree per atom) = -0.1098

[12]
Below is a relaxed structure of In2PbCl, with properties calculated at the PBE level.

Cell lengths 3.463, 3.463, 10.373 Å; angles 90.00, 90.00, 115.93 degrees
Fractional positions:
Pb  0.500  0.500  0.250
Cl  0.500  0.500  0.750
In  0.000  0.000  0.972
In  0.000  0.000  0.528

Calculated values
- size of the total moment (μB/f.u.) = 0.00
- crystal system = orthorhombic
- distance to the lowest polymorph of the same formula (eV per atom) = 0.087
- energy relative to the elements, uncorrected (kJ/mol of formula units) = -90.1
- symmetry = No. 65
- volume (Å³/atom) = 28.0
- uncorrected energy (hartree per atom) = -0.1099

[13]
Below is a relaxed structure of In2PbCl, with properties calculated at the PBE level.

Cell lengths 6.447, 6.447, 8.950 Å; angles 68.89, 68.89, 90.00 degrees
Fractional positions:
Pb  0.000  0.000  0.000
Pb  0.750  0.250  0.500
Cl  0.500  0.500  0.000
Cl  0.250  0.750  0.500
In  0.621  0.125  0.250
In  0.129  0.625  0.250
In  0.375  0.379  0.750
In  0.875  0.871  0.750

Calculated values
- size of the total moment (μB/f.u.) = 0.00
- crystal system = tetragonal
- distance to the lowest polymorph of the same formula (eV per atom) = 0.231
- energy relative to the elements, uncorrected (kJ/mol of formula units) = -34.4
- symmetry = No. 122
- volume (Å³/atom) = 40.0
- uncorrected energy (hartree per atom) = -0.1046

[14]
Below is a relaxed structure of In2PbCl, with properties calculated at the PBE level.

Cell lengths 5.701, 3.397, 6.233 Å; angles 70.17, 90.00, 90.00 degrees
Fractional positions:
Pb  0.500  0.250  0.250
Cl  0.500  0.750  0.750
In  0.000  0.853  0.987
In  0.000  0.647  0.513

Calculated values
- size of the total moment (μB/f.u.) = 0.00
- crystal system = monoclinic
- distance to the lowest polymorph of the same formula (eV per atom) = 0.073
- energy relative to the elements, uncorrected (kJ/mol of formula units) = -95.5
- symmetry = No. 10
- volume (Å³/atom) = 28.4
- uncorrected energy (hartree per atom) = -0.1104

[15]
Below is a relaxed structure of In5Pb3Cl12, with properties calculated at the PBE level.

Cell lengths 4.365, 12.853, 12.853 Å; angles 120.00, 90.00, 90.00 degrees
Fractional positions:
In  0.000  0.333  0.667
In  0.000  0.667  0.333
In  0.000  0.299  0.000
In  0.000  0.701  0.701
In  0.000  0.000  0.299
Pb  0.500  0.677  0.000
Pb  0.500  0.323  0.323
Pb  0.500  0.000  0.677
Cl  0.000  0.826  0.000
Cl  0.000  0.174  0.174
Cl  0.000  0.000  0.826
Cl  0.000  0.526  0.000
Cl  0.000  0.474  0.474
Cl  0.000  0.000  0.526
Cl  0.500  0.191  0.454
Cl  0.500  0.263  0.809
Cl  0.500  0.809  0.263
Cl  0.500  0.546  0.737
Cl  0.500  0.737  0.546
Cl  0.500  0.454  0.191

Calculated values
- size of the total moment (μB/f.u.) = 0.00
- crystal system = hexagonal
- distance to the lowest polymorph of the same formula (eV per atom) = 0.000
- energy relative to the elements, uncorrected (kJ/mol of formula units) = -1832.5
- symmetry = No. 189
- volume (Å³/atom) = 31.2
- uncorrected energy (hartree per atom) = -0.1212

[16]
Below is a relaxed structure of In2PbCl, with properties calculated at the PBE level.

Cell lengths 5.904, 3.351, 5.908 Å; angles 88.72, 90.00, 90.00 degrees
Fractional positions:
Pb  0.000  0.749  0.374
Cl  0.500  0.249  0.876
In  0.000  0.251  0.874
In  0.500  0.250  0.377

Calculated values
- size of the total moment (μB/f.u.) = 0.00
- crystal system = monoclinic
- distance to the lowest polymorph of the same formula (eV per atom) = 0.000
- energy relative to the elements, uncorrected (kJ/mol of formula units) = -123.7
- symmetry = No. 6
- volume (Å³/atom) = 29.2
- uncorrected energy (hartree per atom) = -0.1131

[17]
Below is a relaxed structure of In2PbCl, with properties calculated at the PBE level.

Cell lengths 5.380, 5.380, 5.380 Å; angles 60.00, 60.00, 60.00 degrees
Fractional positions:
Pb  0.500  0.500  0.500
Cl  0.000  0.000  0.000
In  0.250  0.250  0.250
In  0.750  0.750  0.750

Calculated values
- size of the total moment (μB/f.u.) = 0.00
- crystal system = cubic
- distance to the lowest polymorph of the same formula (eV per atom) = 0.131
- energy relative to the elements, uncorrected (kJ/mol of formula units) = -73.0
- symmetry = No. 225
- volume (Å³/atom) = 27.5
- uncorrected energy (hartree per atom) = -0.1083

[18]
Below is a relaxed structure of In4PbCl, with properties calculated at the PBE level.

Cell lengths 6.252, 6.252, 6.252 Å; angles 60.00, 60.00, 60.00 degrees
Fractional positions:
In  0.876  0.375  0.375
In  0.375  0.375  0.876
In  0.375  0.876  0.375
In  0.375  0.375  0.375
Pb  0.750  0.750  0.750
Cl  0.000  0.000  0.000

Calculated values
- size of the total moment (μB/f.u.) = 0.00
- crystal system = cubic
- energy relative to the elements, uncorrected (kJ/mol of formula units) = -38.8
- symmetry = No. 216
- volume (Å³/atom) = 28.8
- uncorrected energy (hartree per atom) = -0.1036

[19]
Below is a relaxed structure of In2PbCl, with properties calculated at the PBE level.

Cell lengths 6.603, 6.603, 6.603 Å; angles 149.21, 129.55, 60.28 degrees
Fractional positions:
Pb  0.496  0.496  0.000
Cl  0.245  0.745  0.500
In  0.006  0.006  0.000
In  0.753  0.253  0.500

Calculated values
- size of the total moment (μB/f.u.) = 0.00
- crystal system = orthorhombic
- distance to the lowest polymorph of the same formula (eV per atom) = 0.083
- energy relative to the elements, uncorrected (kJ/mol of formula units) = -91.5
- symmetry = No. 44
- volume (Å³/atom) = 28.2
- uncorrected energy (hartree per atom) = -0.1101

[20]
Below is a relaxed structure of In5Pb2Cl12, with properties calculated at the PBE level.

Cell lengths 7.018, 9.938, 10.245 Å; angles 119.02, 114.04, 90.00 degrees
Fractional positions:
In  0.502  0.244  0.487
In  0.191  0.341  0.681
In  0.500  0.000  0.000
In  0.809  0.659  0.319
In  0.498  0.756  0.513
Pb  0.000  0.740  0.000
Pb  0.000  0.260  0.000
Cl  0.089  0.917  0.835
Cl  0.862  0.139  0.636
Cl  0.862  0.497  0.636
Cl  0.523  0.081  0.805
Cl  0.523  0.723  0.805
Cl  0.741  0.492  0.985
Cl  0.259  0.508  0.015
Cl  0.477  0.919  0.195
Cl  0.477  0.277  0.195
Cl  0.138  0.861  0.364
Cl  0.138  0.503  0.364
Cl  0.911  0.083  0.165

Calculated values
- size of the total moment (μB/f.u.) = 0.00
- crystal system = monoclinic
- energy relative to the elements, uncorrected (kJ/mol of formula units) = -1789.5
- symmetry = No. 12
- volume (Å³/atom) = 29.1
- uncorrected energy (hartree per atom) = -0.1196